(1)
! PBE-GGA ThMgZn2Pt2, relaxed; values from VASP
! Space-group type: No. 164
! Energy of formation from the pure elements: -0.78 eV per atom
&SYSTEM
  ibrav = 0, nat = 6, ntyp = 4
/
ATOMIC_SPECIES
Th 232.04 Th.upf
Mg 24.30 Mg.upf
Zn 65.41 Zn.upf
Pt 195.08 Pt.upf
CELL_PARAMETERS angstrom
4.4263 0.0000 0.0000
-2.2131 3.8333 0.0000
0.0000 0.0000 6.7501
ATOMIC_POSITIONS crystal
Th 0.0000 0.0000 0.0000
Mg 0.0000 0.0000 0.5000
Zn 0.6667 0.3333 0.6802
Zn 0.3333 0.6667 0.3198
Pt 0.6667 0.3333 0.2658
Pt 0.3333 0.6667 0.7342

(2)
! PBE-GGA ReSi3As, relaxed; values from VASP
! Raw formation energy: 665 meV/atom
! Space-group type: No. 221
! Energy relative to the lowest polymorph listed for this composition: 0.000 eV/atom
&SYSTEM
  ibrav = 0, nat = 5, ntyp = 3
/
ATOMIC_SPECIES
Re 186.21 Re.upf
As 74.92 As.upf
Si 28.09 Si.upf
CELL_PARAMETERS angstrom
-4.0286 2.4356 0.1792
-0.6345 -1.3778 4.4602
2.3583 3.7899 1.5062
ATOMIC_POSITIONS crystal
Re 0.0000 0.0000 0.0000
As 0.5000 0.5000 0.5000
Si 0.0000 0.5000 0.0000
Si 0.0000 0.0000 0.5000
Si 0.5000 0.0000 0.0000

(3)
! PBE-GGA LaTb2Nd3Tm6, relaxed; values from VASP
! Space-group type: No. 12
! Energy of formation from the pure elements: 0.02 eV per atom
&SYSTEM
  ibrav = 0, nat = 12, ntyp = 4
/
ATOMIC_SPECIES
La 138.91 La.upf
Tb 158.93 Tb.upf
Nd 144.24 Nd.upf
Tm 168.93 Tm.upf
CELL_PARAMETERS angstrom
6.1989 -0.0003 0.0068
-3.0982 5.3691 0.0068
-1.0441 -1.8078 11.5470
ATOMIC_POSITIONS crystal
La 0.0000 0.0000 0.0000
Tb 0.3333 0.6667 0.0000
Tb 0.6667 0.3333 0.0000
Nd 0.1670 0.8330 0.5000
Nd 0.8330 0.1670 0.5000
Nd 0.5000 0.5000 0.5000
Tm 0.9162 0.5818 0.7507
Tm 0.7492 0.7492 0.2495
Tm 0.0838 0.4182 0.2493
Tm 0.5818 0.9162 0.7507
Tm 0.2508 0.2508 0.7505
Tm 0.4182 0.0838 0.2493

(4)
! PBE-GGA LaTb2PmY5, relaxed; values from VASP
! Space-group type: No. 140
! Energy of formation from the pure elements: 0.25 eV per atom
&SYSTEM
  ibrav = 0, nat = 18, ntyp = 4
/
ATOMIC_SPECIES
La 138.91 La.upf
Tb 158.93 Tb.upf
Pm 145.00 Pm.upf
Y 88.91 Y.upf
CELL_PARAMETERS angstrom
8.8197 0.0000 0.0000
0.0000 8.8197 0.0000
-4.4099 -4.4099 7.7132
ATOMIC_POSITIONS crystal
La 0.2500 0.2500 0.5000
La 0.7500 0.7500 0.5000
Tb 0.1161 0.3839 0.0000
Tb 0.6161 0.1161 0.0000
Tb 0.3839 0.8839 0.0000
Tb 0.8839 0.6161 0.0000
Pm 0.2500 0.7500 0.5000
Pm 0.7500 0.2500 0.5000
Y 0.9290 0.4290 0.2659
Y 0.6631 0.1631 0.7341
Y 0.0710 0.5710 0.7341
Y 0.1631 0.0710 0.7341
Y 0.5710 0.6631 0.7341
Y 0.8369 0.9290 0.2659
Y 0.4290 0.3369 0.2659
Y 0.3369 0.8369 0.2659
Y 0.5000 0.5000 0.0000
Y 0.0000 0.0000 0.0000

(5)
! PBE-GGA ZnFeRh, relaxed; values from VASP
! Space-group type: No. 44
! Energy of formation from the pure elements: -0.14 eV per atom
! Energy relative to the lowest polymorph listed for this composition: 0.000 eV/atom
&SYSTEM
  ibrav = 0, nat = 3, ntyp = 3
/
ATOMIC_SPECIES
Fe 55.84 Fe.upf
Rh 102.91 Rh.upf
Zn 65.41 Zn.upf
CELL_PARAMETERS angstrom
4.6026 0.0030 -0.0032
2.3248 3.9723 0.0032
-3.1671 -2.5045 2.2092
ATOMIC_POSITIONS crystal
Fe 0.0008 0.0008 0.0000
Rh 0.6660 0.6660 0.0000
Zn 0.3332 0.3332 0.0000

(6)
! PBE-GGA RbPtSCl2, relaxed; values from VASP
! Raw formation energy: -690 meV/atom
! Space-group type: No. 123
! Energy relative to the lowest polymorph listed for this composition: 0.000 eV/atom
&SYSTEM
  ibrav = 0, nat = 5, ntyp = 4
/
ATOMIC_SPECIES
S 32.06 S.upf
Rb 85.47 Rb.upf
Pt 195.08 Pt.upf
Cl 35.45 Cl.upf
CELL_PARAMETERS angstrom
-4.4351 -1.9707 2.0846
-1.8329 -1.0059 -4.8505
1.8933 -4.1150 0.1380
ATOMIC_POSITIONS crystal
S 0.0000 0.0000 0.5000
Rb 0.5000 0.5000 0.5000
Pt 0.0000 0.0000 0.0000
Cl 0.0000 0.5000 0.0000
Cl 0.5000 0.0000 0.0000

| no. | E (eV/atom) |
| --- | --- |
| 1 | -4.72 |
| 2 | -6.01 |
| 3 | -4.59 |
| 4 | -5.44 |
| 5 | -5.84 |
| 6 | -3.66 |